# ZnAgMoF6

An optimized crystal structure of ZnAgMoF6 (GGA+U, Alexandria via LeMat-Bulk).

* E_tot: -4.620 eV/atom
* calculated volume: 279.0 Å³/cell
* Fermi-level density of states: 0.0 states/eV/f.u.

Cell lengths 5.6195, 5.6195, 10.2005 Å; angles 90.00, 90.00, 120.00 degrees
Fractional coordinates of all 18 atoms:
Zn 0.3333 0.6667 0.2500
Zn 0.6667 0.3333 0.7500
Ag 0.0000 0.0000 0.0000
Ag 0.0000 0.0000 0.5000
Mo 0.3333 0.6667 0.7500
Mo 0.6667 0.3333 0.2500
F 0.0037 0.3652 0.1439
F 0.0037 0.6385 0.3561
F 0.3615 0.3652 0.3561
F 0.3615 0.9963 0.1439
F 0.3652 0.0037 0.6439
F 0.3652 0.3615 0.8561
F 0.6348 0.6385 0.1439
F 0.6348 0.9963 0.3561
F 0.6385 0.0037 0.8561
F 0.6385 0.6348 0.6439
F 0.9963 0.3615 0.6439
F 0.9963 0.6348 0.8561